# Rb2CdSiS4

A geometry-optimized Rb2CdSiS4 structure (GGA-PBE, the Alexandria database).

Cell lengths 13.870, 12.467, 7.481 Å; angles 84.15, 63.40, 32.45 degrees
Fractional positions:
Rb1 0.056 0.056 0.694
Rb2 0.306 0.306 0.944
Rb3 0.694 0.694 0.056
Rb4 0.944 0.944 0.306
Cd1 0.125 0.125 0.125
Cd2 0.875 0.875 0.875
Si1 0.375 0.375 0.375
Si2 0.625 0.625 0.625
S1 0.029 0.621 0.534
S2 0.316 0.534 0.621
S3 0.379 0.971 0.684
S4 0.466 0.684 0.971
S5 0.534 0.316 0.029
S6 0.621 0.029 0.316
S7 0.684 0.466 0.379
S8 0.971 0.379 0.466

## Properties
Spin magnetization, μB per cell: 0.00
Volume, Å³/cell: 507.8
ΔE_f (raw), kcal/mol of atoms: -21.837
Crystal system: orthorhombic
ρ, g/cm3: 2.88

=====

# RbCd2SiS4

A geometry-optimized RbCd2SiS4 structure (GGA-PBE, the Alexandria database).

Cell lengths 6.566, 6.473, 6.972 Å; angles 58.32, 57.03, 64.65 degrees
Fractional positions:
Rb1 0.000 0.000 0.000
Cd1 0.240 0.240 0.260
Cd2 0.740 0.740 0.760
Si1 0.503 0.503 0.497
S1 0.186 0.547 0.453
S2 0.461 0.828 0.539
S3 0.547 0.186 0.814
S4 0.828 0.461 0.172

## Properties
Spin magnetization, μB per cell: 0.00
Volume, Å³/cell: 207.3
ΔE_f (raw), kcal/mol of atoms: -15.316
Crystal system: orthorhombic
ρ, g/cm3: 3.74

=====

# Rb2SmCd2S4

A geometry-optimized Rb2SmCd2S4 structure (GGA-PBE, the Alexandria database).

Cell lengths 8.504, 8.504, 8.303 Å; angles 112.79, 112.79, 27.85 degrees
Fractional positions:
Rb1 0.126 0.126 0.056
Rb2 0.874 0.874 0.944
Sm1 0.000 0.000 0.500
Cd1 0.314 0.314 0.479
Cd2 0.686 0.686 0.521
S1 0.185 0.185 0.717
S2 0.474 0.474 0.714
S3 0.526 0.526 0.286
S4 0.815 0.815 0.283

## Properties
Spin magnetization, μB per cell: 0.00
Volume, Å³/cell: 257.2
ΔE_f (raw), kcal/mol of atoms: -25.858
Crystal system: monoclinic
ρ, g/cm3: 4.35

=====

# Rb3Sm2CdS6

A geometry-optimized Rb3Sm2CdS6 structure (GGA-PBE, the Alexandria database).

Cell lengths 7.145, 7.145, 8.085 Å; angles 98.45, 98.45, 119.96 degrees
Fractional positions:
Rb1 0.000 0.000 0.000
Rb2 0.335 0.665 0.000
Rb3 0.665 0.335 0.000
Sm1 0.167 0.833 0.500
Sm2 0.833 0.167 0.500
Cd1 0.500 0.500 0.500
S1 0.102 0.435 0.304
S2 0.232 0.232 0.696
S3 0.435 0.102 0.304
S4 0.565 0.898 0.696
S5 0.768 0.768 0.304
S6 0.898 0.565 0.696

## Properties
Spin magnetization, μB per cell: 0.54
Volume, Å³/cell: 341.9
ΔE_f (raw), kcal/mol of atoms: -31.412
Crystal system: monoclinic
ρ, g/cm3: 4.19

=====

# RbSmCdS3

A geometry-optimized RbSmCdS3 structure (GGA-PBE, the Alexandria database).

Cell lengths 9.007, 4.211, 10.087 Å; angles 90.00, 107.63, 90.00 degrees
Fractional positions:
Rb1 0.210 0.250 0.229
Rb2 0.790 0.750 0.771
Sm1 0.332 0.750 0.864
Sm2 0.668 0.250 0.136
Cd1 0.087 0.250 0.612
Cd2 0.913 0.750 0.388
S1 0.118 0.250 0.866
S2 0.213 0.750 0.543
S3 0.465 0.750 0.146
S4 0.535 0.250 0.854
S5 0.787 0.250 0.457
S6 0.882 0.750 0.134

## Properties
Spin magnetization, μB per cell: 0.00
Volume, Å³/cell: 364.6
ΔE_f (raw), kcal/mol of atoms: -32.019
Crystal system: monoclinic
ρ, g/cm3: 4.05

=====

# Rb2SrCd2S4

A geometry-optimized Rb2SrCd2S4 structure (GGA-PBE, the Alexandria database).

Cell lengths 8.466, 8.466, 8.046 Å; angles 108.87, 108.87, 29.40 degrees
Fractional positions:
Rb1 0.123 0.123 0.043
Rb2 0.877 0.877 0.957
Sr1 0.000 0.000 0.500
Cd1 0.330 0.330 0.523
Cd2 0.670 0.670 0.477
S1 0.207 0.207 0.677
S2 0.479 0.479 0.740
S3 0.521 0.521 0.260
S4 0.793 0.793 0.323

## Properties
Spin magnetization, μB per cell: 0.00
Volume, Å³/cell: 266.8
ΔE_f (raw), kcal/mol of atoms: -26.726
Crystal system: monoclinic
ρ, g/cm3: 3.81

=====

# Rb2TaCdS4

A geometry-optimized Rb2TaCdS4 structure (GGA-PBE, the Alexandria database).

Cell lengths 6.962, 6.962, 6.962 Å; angles 113.21, 113.21, 102.23 degrees
Fractional positions:
Rb1 0.000 0.000 0.000
Rb2 0.750 0.250 0.500
Ta1 0.250 0.750 0.500
Cd1 0.500 0.500 0.000
S1 0.247 0.689 0.148
S2 0.311 0.459 0.558
S3 0.541 0.099 0.852
S4 0.901 0.753 0.442

## Properties
Spin magnetization, μB per cell: 0.00
Volume, Å³/cell: 256.7
ΔE_f (raw), kcal/mol of atoms: -21.907
Crystal system: tetragonal
ρ, g/cm3: 3.83

=====

# Rb2CdTeS

A geometry-optimized Rb2CdTeS structure (GGA-PBE, the Alexandria database).

Cell lengths 8.575, 4.649, 10.740 Å; angles 90.00, 107.49, 90.00 degrees
Fractional positions:
Rb1 0.170 0.250 0.385
Rb2 0.200 0.250 0.962
Rb3 0.800 0.750 0.038
Rb4 0.830 0.750 0.615
Cd1 0.492 0.750 0.259
Cd2 0.508 0.250 0.741
Te1 0.308 0.750 0.696
Te2 0.692 0.250 0.304
S1 0.196 0.750 0.179
S2 0.804 0.250 0.821

## Properties
Spin magnetization, μB per cell: 0.00
Volume, Å³/cell: 408.4
ΔE_f (raw), kcal/mol of atoms: -20.558
Crystal system: monoclinic
ρ, g/cm3: 3.60

=====

# RbTlCd2S

A geometry-optimized RbTlCd2S structure (GGA-PBE, the Alexandria database).

Cell lengths 5.437, 5.437, 6.641 Å; angles 90.00, 90.00, 90.00 degrees
Fractional positions:
Rb1 0.000 0.000 0.000
Tl1 0.000 0.000 0.500
Cd1 0.000 0.500 0.500
Cd2 0.500 0.000 0.500
S1 0.500 0.500 0.000

## Properties
Spin magnetization, μB per cell: 0.00
Volume, Å³/cell: 196.3
ΔE_f (raw), kcal/mol of atoms: 6.454
Crystal system: tetragonal
ρ, g/cm3: 4.62

=====

# Rb3UCd2S6

A geometry-optimized Rb3UCd2S6 structure (GGA-PBE, the Alexandria database).

Cell lengths 7.725, 7.725, 8.667 Å; angles 90.00, 90.00, 120.00 degrees
Fractional positions:
Rb1 0.000 0.000 0.000
Rb2 0.333 0.667 0.707
Rb3 0.667 0.333 0.293
U1 0.000 0.000 0.500
Cd1 0.333 0.667 0.306
Cd2 0.667 0.333 0.694
S1 0.152 0.304 0.307
S2 0.152 0.848 0.307
S3 0.304 0.152 0.693
S4 0.696 0.848 0.307
S5 0.848 0.152 0.693
S6 0.848 0.696 0.693

## Properties
Spin magnetization, μB per cell: 1.00
Volume, Å³/cell: 447.9
ΔE_f (raw), kcal/mol of atoms: -21.888
Crystal system: trigonal
ρ, g/cm3: 3.38